Material: RhAuSe2Br
Method: DFT, meta-GGA SCAN
State: PBEsol geometry

```
RhAuSe2Br
1.0
-3.573 2.462 -1.922
-3.071 -2.236 2.846
0.604 3.585 3.468
Rh Au Se Br
1 1 2 1
direct
0.000 0.000 0.000
0.500 0.500 0.500
0.000 0.500 0.000
0.500 0.000 0.000
0.000 0.000 0.500
```

The density of states at the Fermi level comes out at 5.9 states/eV/f.u. As for the total magnetization: 0.003 μB per formula unit. For the uncorrected formation energy, the calculation gives 538 meV/atom.